Computed, not measured: an optimized crystal structure of YHoMgOs at the GGA-PBE level of DFT.

Calculated values
**Energy relative to the elements**: -3.4 kcal/mol of atoms
**E_tot**: -6.11 eV/atom
**Polymorph energy (0 for the lowest one)**: 0.052 eV per atom

a = 7.059 Å, b = 7.059 Å, c = 7.059 Å
α = 90.00°, β = 90.00°, γ = 90.00°
Space group F-43m (No. 216)
Symmetry-distinct sites (fractional):
Y 0.000 0.000 0.000 (multiplicity 4)
Ho 0.000 0.000 0.500 (multiplicity 4)
Mg 0.250 0.250 0.750 (multiplicity 4)
Os 0.250 0.250 0.250 (multiplicity 4)

***

Computed, not measured: an optimized crystal structure of HoMgZrOs at the GGA-PBE level of DFT.

Calculated values
**Energy relative to the elements**: -3.8 kcal/mol of atoms
**E_tot**: -6.65 eV/atom

a = 6.886 Å, b = 6.886 Å, c = 6.886 Å
α = 90.00°, β = 90.00°, γ = 90.00°
Space group F-43m (No. 216)
Symmetry-distinct sites (fractional):
Ho 0.000 0.000 0.000 (multiplicity 4)
Mg 0.250 0.250 0.750 (multiplicity 4)
Zr 0.000 0.000 0.500 (multiplicity 4)
Os 0.250 0.250 0.250 (multiplicity 4)

***

Computed, not measured: an optimized crystal structure of Ho2MgP at the GGA-PBE level of DFT.

Calculated values
**Energy relative to the elements**: -11.1 kcal/mol of atoms
**E_tot**: -4.52 eV/atom

a = 3.7434 Å, b = 3.7434 Å, c = 29.5790 Å
α = 90.00°, β = 90.00°, γ = 120.00°
Space group R-3m (No. 166, hexagonal axes)
Symmetry-distinct sites (fractional):
Ho 0.0000 0.0000 0.1124 (multiplicity 6)
Mg 0.0000 0.0000 0.0000 (multiplicity 3)
P 0.0000 0.0000 0.5000 (multiplicity 3)

***

Computed, not measured: an optimized crystal structure of Ho3MgP at the GGA-PBE level of DFT.

Calculated values
**Energy relative to the elements**: -11.1 kcal/mol of atoms
**E_tot**: -4.63 eV/atom

a = 5.291 Å, b = 5.291 Å, c = 5.291 Å
α = 90.00°, β = 90.00°, γ = 90.00°
Space group Pm-3m (No. 221)
Symmetry-distinct sites (fractional):
Ho 0.000 0.000 0.500 (multiplicity 3)
Mg 0.500 0.500 0.500 (multiplicity 1)
P 0.000 0.000 0.000 (multiplicity 1)

***

Computed, not measured: an optimized crystal structure of HoMg2P2Pt7 at the GGA-PBE level of DFT.

Calculated values
**Energy relative to the elements**: -18.0 kcal/mol of atoms
**E_tot**: -5.85 eV/atom

a = 5.627 Å, b = 5.597 Å, c = 13.784 Å
α = 90.00°, β = 100.41°, γ = 90.00°
Space group C2/m (No. 12)
Symmetry-distinct sites (fractional):
Ho 0.000 0.000 0.000 (multiplicity 2)
Mg 0.093 0.000 0.392 (multiplicity 4)
P 0.111 0.500 0.260 (multiplicity 4)
Pt 0.000 0.500 0.000 (multiplicity 2)
Pt 0.110 0.500 0.423 (multiplicity 4)
Pt 0.178 0.249 0.838 (multiplicity 8)

***

Computed, not measured: an optimized crystal structure of HoMgP2Rh5 at the GGA-PBE level of DFT.

Calculated values
**Energy relative to the elements**: -13.2 kcal/mol of atoms
**E_tot**: -6.54 eV/atom

a = 4.108 Å, b = 4.108 Å, c = 9.523 Å
α = 90.00°, β = 90.00°, γ = 90.00°
Space group P4/mmm (No. 123)
Symmetry-distinct sites (fractional):
Ho 0.000 0.000 0.000 (multiplicity 1)
Mg 0.000 0.000 0.500 (multiplicity 1)
P 0.500 0.500 0.235 (multiplicity 2)
Rh 0.000 0.500 0.330 (multiplicity 4)
Rh 0.500 0.500 0.000 (multiplicity 1)

***

Computed, not measured: an optimized crystal structure of Ho2MgP3Rh4 at the GGA-PBE level of DFT.

Calculated values
**Energy relative to the elements**: -23.7 kcal/mol of atoms
**E_tot**: -6.66 eV/atom

a = 3.925 Å, b = 3.925 Å, c = 10.743 Å
α = 90.00°, β = 90.00°, γ = 90.00°
Space group P-4m2 (No. 115)
Symmetry-distinct sites (fractional):
Ho 0.000 0.500 0.237 (multiplicity 2)
Mg 0.000 0.000 0.500 (multiplicity 1)
P 0.000 0.500 0.869 (multiplicity 2)
P 0.500 0.500 0.500 (multiplicity 1)
Rh 0.000 0.000 0.000 (multiplicity 1)
Rh 0.000 0.500 0.657 (multiplicity 2)
Rh 0.500 0.500 0.000 (multiplicity 1)

***

Computed, not measured: an optimized crystal structure of Ho3MgP2Rh9 at the GGA-PBE level of DFT.

Calculated values
**Energy relative to the elements**: -12.7 kcal/mol of atoms
**E_tot**: -6.70 eV/atom

a = 6.2179 Å, b = 6.2179 Å, c = 8.0070 Å
α = 90.00°, β = 90.00°, γ = 120.00°
Space group P-3m1 (No. 164)
Symmetry-distinct sites (fractional):
Ho 0.0000 0.0000 0.0000 (multiplicity 1)
Ho 0.3333 0.6667 0.6501 (multiplicity 2)
Mg 0.0000 0.0000 0.5000 (multiplicity 1)
P 0.3333 0.6667 0.1632 (multiplicity 2)
Rh 0.0000 0.5000 0.0000 (multiplicity 3)
Rh 0.1667 0.3333 0.3107 (multiplicity 6)

***

Computed, not measured: an optimized crystal structure of HoMg4Pa at the GGA-PBE level of DFT.

Calculated values
**Energy relative to the elements**: 3.6 kcal/mol of atoms
**E_tot**: -3.25 eV/atom

a = 8.390 Å, b = 8.390 Å, c = 8.390 Å
α = 90.00°, β = 90.00°, γ = 90.00°
Space group F-43m (No. 216)
Symmetry-distinct sites (fractional):
Ho 0.000 0.000 0.000 (multiplicity 4)
Mg 0.125 0.125 0.625 (multiplicity 16)
Pa 0.250 0.250 0.250 (multiplicity 4)

***

Computed, not measured: an optimized crystal structure of HoMgPa2Ru4 at the GGA-PBE level of DFT.

Calculated values
**Energy relative to the elements**: -10.3 kcal/mol of atoms
**E_tot**: -8.23 eV/atom

a = 4.5271 Å, b = 4.5271 Å, c = 26.0253 Å
α = 90.00°, β = 90.00°, γ = 120.00°
Space group R-3m (No. 166, hexagonal axes)
Symmetry-distinct sites (fractional):
Ho 0.0000 0.0000 0.0000 (multiplicity 3)
Mg 0.0000 0.0000 0.5000 (multiplicity 3)
Pa 0.0000 0.0000 0.2443 (multiplicity 6)
Ru 0.0000 0.0000 0.1210 (multiplicity 6)
Ru 0.0000 0.0000 0.3948 (multiplicity 6)

***

Computed, not measured: an optimized crystal structure of Ho2MgPaS6 at the GGA-PBE level of DFT.

Calculated values
**E_tot**: -5.90 eV/atom
**Energy relative to the elements, uncorrected**: -13.95 eV/f.u.

a = 6.439 Å, b = 6.439 Å, c = 6.404 Å
α = 90.00°, β = 90.00°, γ = 90.00°
Space group P4mm (No. 99)
Symmetry-distinct sites (fractional):
Ho 0.000 0.500 0.000 (multiplicity 2)
Mg 0.000 0.000 0.573 (multiplicity 1)
Pa 0.500 0.500 0.590 (multiplicity 1)
S 0.000 0.000 0.202 (multiplicity 1)
S 0.242 0.242 0.769 (multiplicity 4)
S 0.500 0.500 0.181 (multiplicity 1)

***

Computed, not measured: an optimized crystal structure of Ho3MgPb4 at the GGA-PBE level of DFT.

Calculated values
**Energy relative to the elements**: -6.8 kcal/mol of atoms
**E_tot**: -4.07 eV/atom

a = 10.288 Å, b = 6.690 Å, c = 6.467 Å
α = 90.00°, β = 90.00°, γ = 90.00°
Space group Pmn2_1 (No. 31)
Symmetry-distinct sites (fractional):
Ho 0.000 0.031 0.000 (multiplicity 2)
Ho 0.245 0.715 0.762 (multiplicity 4)
Mg 0.000 0.525 0.039 (multiplicity 2)
Pb 0.000 0.485 0.528 (multiplicity 2)
Pb 0.000 0.995 0.505 (multiplicity 2)
Pb 0.242 0.783 0.257 (multiplicity 4)

***

Computed, not measured: an optimized crystal structure of HoMg7Pb4 at the GGA-PBE level of DFT.

Calculated values
**Energy relative to the elements**: 2.4 kcal/mol of atoms
**E_tot**: -2.44 eV/atom

a = 12.169 Å, b = 5.832 Å, c = 10.974 Å
α = 90.00°, β = 122.22°, γ = 90.00°
Space group C2/m (No. 12)
Symmetry-distinct sites (fractional):
Ho 0.000 0.000 0.000 (multiplicity 2)
Mg 0.000 0.500 0.000 (multiplicity 2)
Mg 0.106 0.000 0.443 (multiplicity 4)
Mg 0.184 0.500 0.638 (multiplicity 4)
Mg 0.194 0.500 0.913 (multiplicity 4)
Pb 0.090 0.500 0.317 (multiplicity 4)
Pb 0.187 0.000 0.774 (multiplicity 4)

***

Computed, not measured: an optimized crystal structure of HoMg2Pb2 at the GGA-PBE level of DFT.

Calculated values
**Energy relative to the elements**: -2.6 kcal/mol of atoms
**E_tot**: -3.15 eV/atom
**Polymorph energy (0 for the lowest one)**: 0.000 eV per atom

a = 4.384 Å, b = 4.384 Å, c = 14.155 Å
α = 90.00°, β = 90.00°, γ = 90.00°
Space group I4/mmm (No. 139)
Symmetry-distinct sites (fractional):
Ho 0.000 0.000 0.000 (multiplicity 2)
Mg 0.000 0.500 0.250 (multiplicity 4)
Pb 0.000 0.000 0.392 (multiplicity 4)

***

Computed, not measured: an optimized crystal structure of HoMg2Pb3 at the GGA-PBE level of DFT.

Calculated values
**Energy relative to the elements**: -5.1 kcal/mol of atoms
**E_tot**: -3.37 eV/atom
**Polymorph energy (0 for the lowest one)**: 0.000 eV per atom

a = 4.847 Å, b = 14.857 Å, c = 4.414 Å
α = 90.00°, β = 90.00°, γ = 90.00°
Space group Cmmm (No. 65)
Symmetry-distinct sites (fractional):
Ho 0.000 0.000 0.000 (multiplicity 2)
Mg 0.000 0.331 0.000 (multiplicity 4)
Pb 0.000 0.169 0.500 (multiplicity 4)
Pb 0.000 0.500 0.500 (multiplicity 2)

***

Computed, not measured: an optimized crystal structure of HoMg2Pb2 at the GGA-PBE level of DFT.

Calculated values
**Energy relative to the elements**: 0.6 kcal/mol of atoms
**E_tot**: -3.01 eV/atom
**Polymorph energy (0 for the lowest one)**: 0.139 eV per atom

a = 5.1017 Å, b = 5.1017 Å, c = 12.8738 Å
α = 90.00°, β = 90.00°, γ = 120.00°
Space group P6_3/mmc (No. 194)
Symmetry-distinct sites (fractional):
Ho 0.0000 0.0000 0.2500 (multiplicity 2)
Mg 0.0000 0.0000 0.0000 (multiplicity 2)
Mg 0.3333 0.6667 0.2500 (multiplicity 2)
Pb 0.3333 0.6667 0.6206 (multiplicity 4)

***

Computed, not measured: an optimized crystal structure of Ho4Mg5Pb6 at the GGA-PBE level of DFT.

Calculated values
**Energy relative to the elements**: -6.6 kcal/mol of atoms
**E_tot**: -3.52 eV/atom

a = 4.715 Å, b = 20.936 Å, c = 16.613 Å
α = 90.00°, β = 90.00°, γ = 90.00°
Space group Cmc2_1 (No. 36)
Symmetry-distinct sites (fractional):
Ho 0.000 0.017 0.000 (multiplicity 4)
Ho 0.000 0.033 0.269 (multiplicity 4)
Ho 0.000 0.160 0.799 (multiplicity 4)
Ho 0.000 0.172 0.441 (multiplicity 4)
Mg 0.000 0.155 0.127 (multiplicity 4)
Mg 0.000 0.303 0.118 (multiplicity 4)
Mg 0.000 0.342 0.774 (multiplicity 4)
Mg 0.000 0.346 0.487 (multiplicity 4)
Mg 0.000 0.438 0.183 (multiplicity 4)
Pb 0.000 0.111 0.614 (multiplicity 4)
Pb 0.000 0.230 0.970 (multiplicity 4)
Pb 0.000 0.239 0.271 (multiplicity 4)
Pb 0.000 0.427 0.920 (multiplicity 4)
Pb 0.000 0.433 0.630 (multiplicity 4)
Pb 0.000 0.437 0.356 (multiplicity 4)

***

Computed, not measured: an optimized crystal structure of Ho5Mg2Pb4 at the GGA-PBE level of DFT.

Calculated values
**Energy relative to the elements**: -3.2 kcal/mol of atoms
**E_tot**: -3.86 eV/atom

a = 20.539 Å, b = 4.438 Å, c = 7.664 Å
α = 90.00°, β = 105.06°, γ = 90.00°
Space group C2/m (No. 12)
Symmetry-distinct sites (fractional):
Ho 0.000 0.000 0.000 (multiplicity 2)
Ho 0.147 0.500 0.948 (multiplicity 4)
Ho 0.174 0.500 0.453 (multiplicity 4)
Mg 0.071 0.000 0.618 (multiplicity 4)
Pb 0.021 0.500 0.295 (multiplicity 4)
Pb 0.215 0.000 0.753 (multiplicity 4)

***

Computed, not measured: an optimized crystal structure of HoMg2Pb3 at the GGA-PBE level of DFT.

Calculated values
**Energy relative to the elements**: -4.1 kcal/mol of atoms
**E_tot**: -3.33 eV/atom
**Polymorph energy (0 for the lowest one)**: 0.044 eV per atom

a = 4.741 Å, b = 9.823 Å, c = 6.966 Å
α = 90.00°, β = 90.00°, γ = 90.00°
Space group Pmc2_1 (No. 26)
Symmetry-distinct sites (fractional):
Ho 0.000 0.056 0.000 (multiplicity 2)
Mg 0.000 0.296 0.501 (multiplicity 2)
Mg 0.500 0.500 0.247 (multiplicity 2)
Pb 0.000 0.398 0.997 (multiplicity 2)
Pb 0.500 0.165 0.729 (multiplicity 2)
Pb 0.500 0.168 0.270 (multiplicity 2)

***

Computed, not measured: an optimized crystal structure of Ho3Mg2Pb3 at the GGA-PBE level of DFT.

Calculated values
**Energy relative to the elements**: -7.7 kcal/mol of atoms
**E_tot**: -3.84 eV/atom

a = 8.9030 Å, b = 8.9030 Å, c = 6.3301 Å
α = 90.00°, β = 90.00°, γ = 120.00°
Space group P6_3/mcm (No. 193)
Symmetry-distinct sites (fractional):
Ho 0.0000 0.2430 0.2500 (multiplicity 6)
Mg 0.3333 0.6667 0.0000 (multiplicity 4)
Pb 0.0000 0.3977 0.7500 (multiplicity 6)

***

no.,total magnetization (μB per formula unit)
1,0.00
2,0.00
3,0.00
4,0.00
5,0.00
6,0.00
7,0.00
8,0.00
9,0.00
10,0.00
11,1.01
12,0.00
13,0.00
14,0.00
15,0.00
16,0.00
17,0.00
18,0.93
19,0.00
20,0.00